The following is a PBE-GGA calculation of a relaxed NbTc2O crystal, from Alexandria.

extended XYZ file:
```
8
Lattice="6.8992 0.0000 0.0000 0.0000 6.8992 0.0000 3.4496 3.4496 2.3320" Properties=species:S:1:pos:R:3 pbc="T T T"
Tc 2.4035 5.1744 0.5830
Tc 8.6240 7.9453 1.7490
Tc 5.1744 5.8531 1.7490
Tc 4.4957 1.7248 0.5830
Nb 6.8992 3.4496 1.1660
Nb 0.0000 0.0000 0.0000
O 3.4496 3.4496 0.0000
O 3.4496 6.8992 1.1660
```

Properties
Total DFT energy (no corrections) (eV per atom): -9.07
Formation energy without anion corrections (meV/atom): -134
Density (g/cm3): 9.12

***

The following is a PBE-GGA calculation of a relaxed Nb2TcO crystal, from Alexandria.

extended XYZ file:
```
8
Lattice="6.1450 0.0000 0.0000 0.0000 6.1450 0.0000 3.0725 3.0725 3.3185" Properties=species:S:1:pos:R:3 pbc="T T T"
Nb 4.6088 5.0358 2.4889
Nb 1.9633 4.6088 0.8296
Nb 4.1817 1.5363 0.8296
Nb 7.6813 7.2542 2.4889
Tc 0.0000 0.0000 0.0000
Tc 6.1450 3.0725 1.6592
O 3.0725 3.0725 0.0000
O 3.0725 6.1450 1.6592
```

Properties
Total DFT energy (no corrections) (eV per atom): -9.34
Formation energy without anion corrections (meV/atom): -469
Density (g/cm3): 7.95